Density functional theory data (PBE-GGA) for a relaxed Pr4Nd4Er3 crystal. Values from VASP.

Values from the calculation:
Its formation energy from the elements is 0.0578 eV/atom. The calculation puts the volume at 376.1 Å³ per cell. The value obtained for the density of states at the Fermi level is 18.7 states/eV per cell. The value obtained for the distance to the lowest polymorph of the same formula is 0.034 eV per atom. Its symmetry is P-1 (2).

```
&SYSTEM
  ibrav = 0, nat = 11, ntyp = 3
/
ATOMIC_SPECIES
Pr 140.91 Pr.upf
Nd 144.24 Nd.upf
Er 167.26 Er.upf
CELL_PARAMETERS angstrom
3.588 0.000 0.002
0.000 5.768 0.001
1.784 2.860 18.177
ATOMIC_POSITIONS angstrom
Pr 3.580 2.869 14.891
Pr 1.789 2.872 8.411
Pr 3.582 5.755 9.770
Pr 1.792 5.759 3.291
Nd 3.579 5.752 16.522
Nd 1.793 2.875 1.659
Nd 1.790 5.758 6.555
Nd 3.582 2.870 11.626
Er 1.788 5.753 13.259
Er 3.584 2.874 4.922
Er 0.000 0.000 0.000
```

=====

Density functional theory data (PBE-GGA) for a relaxed LiAgRh2 crystal. Values from VASP.

Values from the calculation:
Its formation energy from the elements is 0.0051 eV/atom. The calculation puts the volume at 58.8 Å³ per cell. The value obtained for the density of states at the Fermi level is 5.1 states/eV per cell. The value obtained for the distance to the lowest polymorph of the same formula is 0.009 eV per atom. Its symmetry is C2/m (12).

```
&SYSTEM
  ibrav = 0, nat = 4, ntyp = 3
/
ATOMIC_SPECIES
Ag 107.87 Ag.upf
Li 6.94 Li.upf
Rh 102.91 Rh.upf
CELL_PARAMETERS angstrom
4.887 -0.010 0.026
4.127 2.617 0.026
0.764 0.221 4.584
ATOMIC_POSITIONS angstrom
Ag 7.333 2.121 3.477
Li 2.444 0.707 1.159
Rh 8.997 2.603 0.111
Rh 4.904 1.419 2.260
```

=====

Density functional theory data (PBE-GGA) for a relaxed CsYGeI6 crystal. Values from VASP.

Values from the calculation:
Its uncorrected formation energy is -1.088 eV/atom. The calculation puts the volume at 466.4 Å³ per cell. The value obtained for the density of states at the Fermi level is 0.0 states/eV per cell. Its symmetry is P312 (149).

```
&SYSTEM
  ibrav = 0, nat = 9, ntyp = 4
/
ATOMIC_SPECIES
Cs 132.91 Cs.upf
Y 88.91 Y.upf
Ge 72.64 Ge.upf
I 126.90 I.upf
CELL_PARAMETERS angstrom
7.879 0.000 0.000
3.940 6.823 0.000
0.001 -0.001 8.675
ATOMIC_POSITIONS angstrom
Cs 11.820 6.823 8.675
Y 7.880 4.549 4.338
Ge 3.940 2.274 4.338
I 1.480 2.542 2.584
I 2.942 0.010 6.091
I 6.401 2.542 6.091
I 2.477 4.271 6.090
I 5.403 4.271 2.584
I 4.938 0.009 2.585
```

=====

Density functional theory data (PBE-GGA) for a relaxed LiAgF2 crystal. Values from VASP.

Values from the calculation:
Its uncorrected formation energy is -1.748 eV/atom. The calculation puts the volume at 45.9 Å³ per cell. The value obtained for the distance to the lowest polymorph of the same formula is 0.210 eV per atom. Its symmetry is P4/mmm (123).

```
&SYSTEM
  ibrav = 0, nat = 4, ntyp = 3
/
ATOMIC_SPECIES
Li 6.94 Li.upf
Ag 107.87 Ag.upf
F 19.00 F.upf
CELL_PARAMETERS angstrom
2.776 0.000 0.000
0.000 2.776 0.000
0.000 0.000 5.953
ATOMIC_POSITIONS angstrom
Li 1.388 1.388 0.000
Ag 1.388 1.388 2.977
F 0.000 0.000 4.708
F 0.000 0.000 1.245
```

=====

Density functional theory data (PBE-GGA) for a relaxed HfVFe2 crystal. Values from VASP.

Values from the calculation:
Its formation energy from the elements is -0.1654 eV/atom. The calculation puts the volume at 54.7 Å³ per cell. The value obtained for the density of states at the Fermi level is 3.2 states/eV per cell. The value obtained for the distance to the lowest polymorph of the same formula is 0.000 eV per atom. Its symmetry is P4/mmm (123).

```
&SYSTEM
  ibrav = 0, nat = 4, ntyp = 3
/
ATOMIC_SPECIES
Hf 178.49 Hf.upf
Fe 55.84 Fe.upf
V 50.94 V.upf
CELL_PARAMETERS angstrom
-1.666 1.761 -1.734
-1.828 0.528 2.294
3.434 4.844 1.621
ATOMIC_POSITIONS angstrom
Hf -1.747 1.145 0.280
Fe 2.478 3.495 1.170
Fe 0.956 1.348 0.451
V -0.030 3.567 1.091
```

=====

Density functional theory data (PBE-GGA) for a relaxed La2CdGe3Pt4 crystal. Values from VASP.

Values from the calculation:
Its formation energy from the elements is -0.8848 eV/atom. The calculation puts the volume at 205.2 Å³ per cell. The value obtained for the density of states at the Fermi level is 4.7 states/eV per cell. Its symmetry is P-4m2 (115).

```
&SYSTEM
  ibrav = 0, nat = 10, ntyp = 4
/
ATOMIC_SPECIES
La 138.91 La.upf
Cd 112.41 Cd.upf
Ge 72.64 Ge.upf
Pt 195.08 Pt.upf
CELL_PARAMETERS angstrom
4.414 0.000 0.000
0.000 4.414 0.000
0.000 0.000 10.530
ATOMIC_POSITIONS angstrom
La 2.207 0.000 2.586
La 0.000 2.207 7.944
Cd 2.207 2.207 5.265
Ge 0.000 0.000 5.265
Ge 2.207 0.000 9.238
Ge 0.000 2.207 1.292
Pt 2.207 2.207 0.000
Pt 0.000 0.000 0.000
Pt 2.207 0.000 6.796
Pt 0.000 2.207 3.734
```

=====

Density functional theory data (PBE-GGA) for a relaxed NdTaS crystal. Values from VASP.

Values from the calculation:
Its uncorrected formation energy is -0.572 eV/atom. The calculation puts the volume at 147.7 Å³ per cell. The value obtained for the density of states at the Fermi level is 4.4 states/eV per cell. Its symmetry is P4/nmm (129).

```
&SYSTEM
  ibrav = 0, nat = 6, ntyp = 3
/
ATOMIC_SPECIES
Ta 180.95 Ta.upf
S 32.06 S.upf
Nd 144.24 Nd.upf
CELL_PARAMETERS angstrom
-3.386 -0.312 1.782
1.805 -0.312 3.374
-0.338 9.959 1.102
ATOMIC_POSITIONS angstrom
Ta 0.000 0.000 0.000
Ta -0.790 -0.312 2.578
S 0.696 5.934 2.361
S -1.824 3.713 1.319
Nd 0.797 2.944 2.030
Nd -1.926 6.703 1.650
```

=====

Density functional theory data (PBE-GGA) for a relaxed PmScTe crystal. Values from VASP.

Values from the calculation:
Its uncorrected formation energy is -0.931 eV/atom. The calculation puts the volume at 159.0 Å³ per cell. The value obtained for the density of states at the Fermi level is 4.0 states/eV per cell. The value obtained for the distance to the lowest polymorph of the same formula is 0.000 eV per atom. Its symmetry is P4/nmm (129).

```
&SYSTEM
  ibrav = 0, nat = 6, ntyp = 3
/
ATOMIC_SPECIES
Pm 145.00 Pm.upf
Sc 44.96 Sc.upf
Te 127.60 Te.upf
CELL_PARAMETERS angstrom
4.325 0.000 0.000
0.000 4.325 0.000
0.000 0.000 8.501
ATOMIC_POSITIONS angstrom
Pm 3.244 3.244 3.047
Pm 1.081 1.081 5.454
Sc 1.081 3.244 0.000
Sc 3.244 1.081 0.000
Te 1.081 1.081 2.166
Te 3.244 3.244 6.336
```

=====

Density functional theory data (PBE-GGA) for a relaxed Th4CoC2N crystal. Values from VASP.

Values from the calculation:
Its uncorrected formation energy is -0.486 eV/atom. The calculation puts the volume at 154.8 Å³ per cell. The value obtained for the density of states at the Fermi level is 6.7 states/eV per cell. Its symmetry is P2/m (10).

```
&SYSTEM
  ibrav = 0, nat = 8, ntyp = 4
/
ATOMIC_SPECIES
Th 232.04 Th.upf
Co 58.93 Co.upf
C 12.01 C.upf
N 14.01 N.upf
CELL_PARAMETERS angstrom
-1.374 0.927 -3.367
-5.753 -2.741 1.594
-0.200 6.337 1.826
ATOMIC_POSITIONS angstrom
Th -2.172 1.384 -0.823
Th -5.155 3.138 0.877
Th -1.510 4.035 1.727
Th -4.443 -0.440 1.693
Co -3.564 -0.907 -0.886
C -0.787 3.632 -0.770
C -2.976 1.798 1.710
N 0.000 0.000 0.000
```

=====

Density functional theory data (PBE-GGA) for a relaxed Tb2PmY6 crystal. Values from VASP.

Values from the calculation:
Its formation energy from the elements is 0.0641 eV/atom. The calculation puts the volume at 582.8 Å³ per cell. The value obtained for the density of states at the Fermi level is 30.7 states/eV per cell. The value obtained for the distance to the lowest polymorph of the same formula is 0.043 eV per atom. Its symmetry is C2/c (15).

```
&SYSTEM
  ibrav = 0, nat = 18, ntyp = 3
/
ATOMIC_SPECIES
Tb 158.93 Tb.upf
Pm 145.00 Pm.upf
Y 88.91 Y.upf
CELL_PARAMETERS angstrom
5.668 -0.943 0.179
-1.462 9.898 6.426
-2.977 1.725 11.382
ATOMIC_POSITIONS angstrom
Tb -3.255 8.014 13.769
Tb 1.401 1.797 4.942
Tb 4.484 2.667 4.218
Tb -0.172 8.884 13.045
Pm -1.181 3.534 10.187
Pm 2.410 7.147 7.799
Y 1.841 5.358 10.949
Y 1.973 3.509 7.941
Y -0.612 5.323 7.038
Y -0.744 7.171 10.046
Y 2.615 8.926 10.794
Y 2.206 5.369 4.804
Y -1.386 1.754 7.193
Y -0.977 5.311 13.183
Y -3.416 9.850 16.746
Y 1.563 -0.038 1.964
Y 4.645 0.831 1.241
Y -0.334 10.719 16.022
```

=====

Density functional theory data (PBE-GGA) for a relaxed KTa2BeHg crystal. Values from VASP.

Values from the calculation:
Its formation energy from the elements is 3.0667 eV/atom. The calculation puts the volume at 116.4 Å³ per cell. The value obtained for the density of states at the Fermi level is 4.5 states/eV per cell. Its symmetry is P4/mmm (123).

```
&SYSTEM
  ibrav = 0, nat = 5, ntyp = 4
/
ATOMIC_SPECIES
Be 9.01 Be.upf
K 39.10 K.upf
Hg 200.59 Hg.upf
Ta 180.95 Ta.upf
CELL_PARAMETERS angstrom
-4.209 2.033 0.439
-2.157 -3.836 -2.922
-0.806 -2.507 3.886
ATOMIC_POSITIONS angstrom
Be -3.586 -2.155 0.701
K 0.000 0.000 0.000
Hg -1.079 -1.918 -1.461
Ta -0.403 -1.254 1.943
Ta -2.104 1.016 0.219
```

=====

Density functional theory data (PBE-GGA) for a relaxed HoAg2OsO6 crystal. Values from VASP.

Values from the calculation:
Its uncorrected formation energy is -1.306 eV/atom. The calculation puts the volume at 262.0 Å³ per cell. The value obtained for the density of states at the Fermi level is 8.5 states/eV per cell. Its symmetry is P2_1/c (14).

```
&SYSTEM
  ibrav = 0, nat = 20, ntyp = 4
/
ATOMIC_SPECIES
Ho 164.93 Ho.upf
Ag 107.87 Ag.upf
Os 190.23 Os.upf
O 16.00 O.upf
CELL_PARAMETERS angstrom
5.653 0.000 -0.049
0.000 5.695 0.000
-0.021 0.000 8.141
ATOMIC_POSITIONS angstrom
Ho 2.826 0.000 -0.025
Ho -0.011 2.847 4.070
Ag 5.625 5.633 1.970
Ag 2.788 2.909 6.065
Ag 0.007 0.062 6.121
Ag 2.844 2.786 2.026
Os 2.816 0.000 4.046
Os 0.000 2.847 0.000
O 1.620 3.816 0.292
O 4.435 4.726 4.337
O 4.012 1.879 7.800
O 1.196 0.969 3.754
O 1.878 4.064 3.745
O 4.693 4.478 7.790
O 3.753 1.631 4.347
O 0.938 1.217 0.301
O 5.230 2.995 1.816
O 2.393 5.548 5.911
O 0.401 2.700 6.275
O 3.238 0.147 2.180
```